[1]
Density functional theory data (PBE-GGA) for a relaxed structure of PmNiRu.

Output
ρ (g cm⁻³): 9.28
Excess energy over the best structure of this formula in the dataset (meV per atom): 186
Calculated total energy (eV per atom): -6.70
Density of states at the Fermi level (states/eV/cell): 13.62
V (Å³/f.u.): 55
Space-group type: No. 189
Formation energy from the elements (eV/atom): -0.097

abc: 4.0852 6.8013 6.8013
angles: 120.00 90.00 90.00
Fractional positions:
Ni 0.5000 0.6667 0.3333
Ni 0.5000 0.3333 0.6667
Ni 0.0000 0.0000 0.0000
Pm 0.0000 0.6007 0.6007
Pm 0.0000 0.0000 0.3993
Pm 0.0000 0.3993 0.0000
Ru 0.5000 0.0000 0.7635
Ru 0.5000 0.7635 0.0000
Ru 0.5000 0.2365 0.2365

---

[2]
Density functional theory data (PBE-GGA) for a relaxed structure of Pm2NiRu.

Output
ρ (g cm⁻³): 8.38
Excess energy over the best structure of this formula in the dataset (meV per atom): 0
Calculated total energy (eV per atom): -6.42
Density of states at the Fermi level (states/eV/cell): 3.86
V (Å³/f.u.): 89
Space-group type: No. 11
Formation energy from the elements (eV/atom): -0.280

abc: 4.0777 5.7669 8.0939
angles: 110.48 90.00 90.00
Fractional positions:
Pm 0.7500 0.2134 0.4322
Pm 0.2500 0.7866 0.5678
Pm 0.2500 0.7864 0.0757
Pm 0.7500 0.2136 0.9243
Ni 0.2500 0.3588 0.2138
Ni 0.7500 0.6412 0.7862
Ru 0.7500 0.6321 0.2802
Ru 0.2500 0.3679 0.7198

---

[3]
Density functional theory data (PBE-GGA) for a relaxed structure of Pm6Ni2Ru.

Output
ρ (g cm⁻³): 7.84
Calculated total energy (eV per atom): -5.68
Density of states at the Fermi level (states/eV/cell): 18.24
V (Å³/f.u.): 231
Space-group type: No. 71
Formation energy from the elements (eV/atom): -0.202

abc: 8.4317 8.4317 8.4317
angles: 109.04 109.02 110.36
Fractional positions:
Pm 0.4277 0.2563 0.1715
Pm 0.5723 0.7437 0.8285
Pm 0.9152 0.7437 0.1715
Pm 0.0848 0.2563 0.8285
Pm 0.1812 0.7334 0.9146
Pm 0.8188 0.2666 0.0854
Pm 0.8188 0.7334 0.5522
Pm 0.1812 0.2666 0.4478
Pm 0.3142 0.9839 0.6697
Pm 0.6858 0.0161 0.3303
Pm 0.6858 0.3555 0.6697
Pm 0.3142 0.6445 0.3303
Ni 0.5000 0.3830 0.8830
Ni 0.5000 0.6170 0.1170
Ni 0.3254 0.0000 0.3254
Ni 0.6746 0.0000 0.6746
Ru 0.0000 0.5000 0.5000
Ru 0.0000 0.0000 0.0000

---

[4]
Density functional theory data (PBE-GGA) for a relaxed structure of Pm2NiRu.

Output
ρ (g cm⁻³): 8.83
Excess energy over the best structure of this formula in the dataset (meV per atom): 63
Calculated total energy (eV per atom): -6.36
Density of states at the Fermi level (states/eV/cell): 3.60
V (Å³/f.u.): 85
Space-group type: No. 225
Formation energy from the elements (eV/atom): -0.217

abc: 4.9276 4.9276 4.9276
angles: 60.00 60.00 60.00
Fractional positions:
Ru 0.0000 0.0000 0.0000
Ni 0.5000 0.5000 0.5000
Pm 0.2500 0.2500 0.2500
Pm 0.7500 0.7500 0.7500